Version P
RbBaNdTe3 | PBE-GGA | optimized geometry

Lattice parameters (Å, degrees): 4.989 16.047 12.562 90.00 90.00 90.00
Space group Cmcm (No. 63)
Unique sites:
1 Rb 0.000 0.050 0.250 [4 per cell]
2 Ba 0.000 0.226 0.750 [4 per cell]
3 Nd 0.000 0.500 0.000 [4 per cell]
4 Te 0.000 0.136 0.014 [8 per cell]
5 Te 0.000 0.417 0.250 [4 per cell]

=====

Version Q
RbBaNdTe3 | PBE-GGA | optimized geometry

Lattice parameters (Å, degrees): 13.825 4.746 15.191 90.00 90.00 90.00
Space group Pnma (No. 62)
Unique sites:
1 Rb 0.119 0.250 0.072 [4 per cell]
2 Ba 0.127 0.250 0.417 [4 per cell]
3 Nd 0.115 0.250 0.743 [4 per cell]
4 Te 0.114 0.750 0.254 [4 per cell]
5 Te 0.124 0.750 0.595 [4 per cell]
6 Te 0.131 0.750 0.880 [4 per cell]

=====

Name the least stable of them. version P.

=====

Version P
BaZnNiSe3 | PBE-GGA | optimized geometry

Lattice parameters (Å, degrees): 4.078 14.031 10.000 90.00 90.00 90.00
Space group Cmcm (No. 63)
Unique sites:
1 Ba 0.000 0.243 0.250 [4 per cell]
2 Zn 0.000 0.469 0.750 [4 per cell]
3 Ni 0.000 0.000 0.000 [4 per cell]
4 Se 0.000 0.068 0.750 [4 per cell]
5 Se 0.000 0.378 0.542 [8 per cell]

=====

Version Q
BaZnNiSe3 | PBE-GGA | optimized geometry

Lattice parameters (Å, degrees): 4.110 13.457 10.403 90.00 90.00 90.00
Space group Cmcm (No. 63)
Unique sites:
1 Ba 0.000 0.248 0.250 [4 per cell]
2 Zn 0.000 0.000 0.000 [4 per cell]
3 Ni 0.000 0.467 0.750 [4 per cell]
4 Se 0.000 0.055 0.750 [4 per cell]
5 Se 0.000 0.373 0.554 [8 per cell]

=====

Name the least stable of them. version Q.

=====

Version P
BaSrNi | PBE-GGA | optimized geometry

Lattice parameters (Å, degrees): 7.414 7.414 7.414 90.00 90.00 90.00
Space group F-43m (No. 216)
Unique sites:
1 Ba 0.000 0.000 0.000 [4 per cell]
2 Sr 0.250 0.250 0.250 [4 per cell]
3 Ni 0.250 0.250 0.750 [4 per cell]

=====

Version Q
BaSrNi | PBE-GGA | optimized geometry

Lattice parameters (Å, degrees): 7.581 7.581 7.581 90.00 90.00 90.00
Space group F-43m (No. 216)
Unique sites:
1 Ba 0.000 0.000 0.000 [4 per cell]
2 Sr 0.000 0.000 0.500 [4 per cell]
3 Ni 0.250 0.250 0.250 [4 per cell]

=====

Name the least stable of them. version P.

=====

Version P
BaTmNi | PBE-GGA | optimized geometry

Lattice parameters (Å, degrees): 7.033 7.033 7.033 90.00 90.00 90.00
Space group F-43m (No. 216)
Unique sites:
1 Ba 0.000 0.000 0.000 [4 per cell]
2 Tm 0.250 0.250 0.250 [4 per cell]
3 Ni 0.000 0.000 0.500 [4 per cell]

=====

Version Q
BaTmNi | PBE-GGA | optimized geometry

Lattice parameters (Å, degrees): 7.025 7.025 7.025 90.00 90.00 90.00
Space group F-43m (No. 216)
Unique sites:
1 Ba 0.000 0.000 0.000 [4 per cell]
2 Tm 0.250 0.250 0.250 [4 per cell]
3 Ni 0.250 0.250 0.750 [4 per cell]

=====

Name the least stable of them. version Q.

=====

Version P
BaNp | PBE-GGA | optimized geometry

Lattice parameters (Å, degrees): 6.985 6.985 6.985 90.00 90.00 90.00
Space group F-43m (No. 216)
Unique sites:
1 Ba 0.000 0.000 0.000 [4 per cell]
2 Np 0.250 0.250 0.750 [4 per cell]

=====

Version Q
BaNp | PBE-GGA | optimized geometry

Lattice parameters (Å, degrees): 3.6355 3.6355 6.5998 90.00 90.00 120.00
Space group P-6m2 (No. 187)
Unique sites:
1 Ba 0.0000 0.0000 0.0000 [1 per cell]
2 Np 0.6667 0.3333 0.5000 [1 per cell]

=====

Version R
BaNp | PBE-GGA | optimized geometry

Lattice parameters (Å, degrees): 6.927 6.927 6.927 90.00 90.00 90.00
Space group Fm-3m (No. 225)
Unique sites:
1 Ba 0.000 0.000 0.000 [4 per cell]
2 Np 0.000 0.000 0.500 [4 per cell]

=====

Name the least stable of them. version P.

=====

Version P
BaNpOs | PBE-GGA | optimized geometry

Lattice parameters (Å, degrees): 7.039 7.039 7.039 90.00 90.00 90.00
Space group F-43m (No. 216)
Unique sites:
1 Ba 0.000 0.000 0.000 [4 per cell]
2 Np 0.000 0.000 0.500 [4 per cell]
3 Os 0.250 0.250 0.250 [4 per cell]

=====

Version Q
BaNpOs | PBE-GGA | optimized geometry

Lattice parameters (Å, degrees): 6.689 6.689 6.689 90.00 90.00 90.00
Space group F-43m (No. 216)
Unique sites:
1 Ba 0.000 0.000 0.000 [4 per cell]
2 Np 0.250 0.250 0.750 [4 per cell]
3 Os 0.250 0.250 0.250 [4 per cell]

=====

Name the least stable of them. version Q.

=====

Version P
BaPuNp | PBE-GGA | optimized geometry

Lattice parameters (Å, degrees): 7.698 7.698 7.698 90.00 90.00 90.00
Space group F-43m (No. 216)
Unique sites:
1 Ba 0.000 0.000 0.000 [4 per cell]
2 Pu 0.250 0.250 0.250 [4 per cell]
3 Np 0.000 0.000 0.500 [4 per cell]

=====

Version Q
BaPuNp | PBE-GGA | optimized geometry

Lattice parameters (Å, degrees): 7.475 7.475 7.475 90.00 90.00 90.00
Space group F-43m (No. 216)
Unique sites:
1 Ba 0.000 0.000 0.000 [4 per cell]
2 Pu 0.250 0.250 0.250 [4 per cell]
3 Np 0.250 0.250 0.750 [4 per cell]

=====

Name the least stable of them. version Q.

=====

Version P
BaNpRe | PBE-GGA | optimized geometry

Lattice parameters (Å, degrees): 7.019 7.019 7.019 90.00 90.00 90.00
Space group F-43m (No. 216)
Unique sites:
1 Ba 0.000 0.000 0.000 [4 per cell]
2 Np 0.000 0.000 0.500 [4 per cell]
3 Re 0.250 0.250 0.750 [4 per cell]

=====

Version Q
BaNpRe | PBE-GGA | optimized geometry

Lattice parameters (Å, degrees): 6.714 6.714 6.714 90.00 90.00 90.00
Space group F-43m (No. 216)
Unique sites:
1 Ba 0.000 0.000 0.000 [4 per cell]
2 Np 0.250 0.250 0.750 [4 per cell]
3 Re 0.250 0.250 0.250 [4 per cell]

=====

Name the least stable of them. version Q.

=====

Version P
BaNpTa | PBE-GGA | optimized geometry

Lattice parameters (Å, degrees): 7.235 7.235 7.235 90.00 90.00 90.00
Space group F-43m (No. 216)
Unique sites:
1 Ba 0.000 0.000 0.000 [4 per cell]
2 Np 0.250 0.250 0.250 [4 per cell]
3 Ta 0.000 0.000 0.500 [4 per cell]

=====

Version Q
BaNpTa | PBE-GGA | optimized geometry

Lattice parameters (Å, degrees): 7.071 7.071 7.071 90.00 90.00 90.00
Space group F-43m (No. 216)
Unique sites:
1 Ba 0.000 0.000 0.000 [4 per cell]
2 Np 0.250 0.250 0.750 [4 per cell]
3 Ta 0.250 0.250 0.250 [4 per cell]

=====

Name the least stable of them. version Q.

=====

Version P
BaNpTe | PBE-GGA | optimized geometry

Lattice parameters (Å, degrees): 7.823 7.823 7.823 90.00 90.00 90.00
Space group F-43m (No. 216)
Unique sites:
1 Ba 0.000 0.000 0.000 [4 per cell]
2 Np 0.000 0.000 0.500 [4 per cell]
3 Te 0.250 0.250 0.250 [4 per cell]

=====

Version Q
BaNpTe | PBE-GGA | optimized geometry

Lattice parameters (Å, degrees): 7.888 7.888 7.888 90.00 90.00 90.00
Space group F-43m (No. 216)
Unique sites:
1 Ba 0.000 0.000 0.000 [4 per cell]
2 Np 0.250 0.250 0.750 [4 per cell]
3 Te 0.250 0.250 0.250 [4 per cell]

=====

Name the least stable of them. version Q.

=====

Version P
BaPrPO | PBE-GGA | optimized geometry

Lattice parameters (Å, degrees): 4.243 7.023 7.498 90.00 90.00 90.00
Space group Pmc2_1 (No. 26)
Unique sites:
1 Ba 0.000 0.060 0.000 [2 per cell]
2 Pr 0.500 0.381 0.366 [2 per cell]
3 P 0.500 0.241 0.728 [2 per cell]
4 O 0.000 0.265 0.292 [2 per cell]

=====

Version Q
BaPrPO | PBE-GGA | optimized geometry

Lattice parameters (Å, degrees): 5.723 5.723 6.139 90.00 90.00 90.00
Space group P4/nmm (No. 129, origin choice 2)
Unique sites:
1 Ba 0.250 0.250 0.001 [2 per cell]
2 Pr 0.250 0.750 0.500 [2 per cell]
3 P 0.250 0.250 0.502 [2 per cell]
4 O 0.250 0.750 0.000 [2 per cell]

=====

Version R
BaPrPO | PBE-GGA | optimized geometry

Lattice parameters (Å, degrees): 4.554 4.554 9.539 90.00 90.00 90.00
Space group P4/nmm (No. 129, origin choice 2)
Unique sites:
1 Ba 0.250 0.750 0.000 [2 per cell]
2 Pr 0.250 0.250 0.406 [2 per cell]
3 P 0.250 0.250 0.780 [2 per cell]
4 O 0.250 0.750 0.500 [2 per cell]

=====

Version S
BaPrPO | PBE-GGA | optimized geometry

Lattice parameters (Å, degrees): 4.655 7.751 6.803 90.00 90.00 90.00
Space group Pmc2_1 (No. 26)
Unique sites:
1 Ba 0.000 0.191 0.000 [2 per cell]
2 Pr 0.500 0.382 0.581 [2 per cell]
3 P 0.000 0.214 0.469 [2 per cell]
4 O 0.500 0.358 0.919 [2 per cell]

=====

Name the least stable of them. version R.

=====

Version P
BaPPtO | PBE-GGA | optimized geometry

Lattice parameters (Å, degrees): 4.358 4.358 9.466 90.00 90.00 90.00
Space group P4/nmm (No. 129, origin choice 2)
Unique sites:
1 Ba 0.250 0.250 0.136 [2 per cell]
2 P 0.250 0.250 0.610 [2 per cell]
3 Pt 0.250 0.750 0.500 [2 per cell]
4 O 0.250 0.750 0.000 [2 per cell]

=====

Version Q
BaPPtO | PBE-GGA | optimized geometry

Lattice parameters (Å, degrees): 3.427 8.411 5.734 90.00 90.00 90.00
Space group Pmc2_1 (No. 26)
Unique sites:
1 Ba 0.000 0.144 0.000 [2 per cell]
2 P 0.000 0.460 0.579 [2 per cell]
3 Pt 0.500 0.286 0.504 [2 per cell]
4 O 0.500 0.071 0.329 [2 per cell]

=====

Name the least stable of them. version Q.